A plane-wave DFT calculation with PBE was carried out for a relaxed KCa2Os crystal.

Summary:
**ρ**: 4.73 g/cm3
**DFT total energy**: -25.5 eV for the cell shown
**Offset from the most stable computed form**: 482.4 meV/atom

a = 4.7191 Å, b = 4.7191 Å, c = 9.7662 Å
α = 90.00°, β = 90.00°, γ = 90.00°
Space group I-4m2 (No. 119)
Symmetry-distinct sites (fractional):
K 0.0000 0.0000 0.0000
Ca 0.0000 0.0000 0.5000
Ca 0.0000 0.5000 0.2500
Os 0.0000 0.5000 0.7500

=====

A plane-wave DFT calculation with PBE was carried out for a relaxed Hf2ReI crystal.

Summary:
**Energy relative to the elements, uncorrected**: 476 meV per atom
**ρ**: 13.63 g/cm3
**DFT total energy**: -128.0 eV for the cell shown
**Offset from the most stable computed form**: 0.0 meV/atom

a = 6.8858 Å, b = 6.8858 Å, c = 6.8858 Å
α = 90.00°, β = 90.00°, γ = 90.00°
Space group Fm-3m (No. 225)
Symmetry-distinct sites (fractional):
Hf 0.2500 0.2500 0.2500
Re 0.0000 0.0000 0.0000
I 0.0000 0.0000 0.5000

=====

Spin magnetization across the listed records, respectively: 0.38 0.00 μB per formula unit.